[1]
Below is a relaxed structure of RbSrInCl6, with properties calculated at the PBE level.

abc: 7.2609 7.2609 13.9165
angles: 90.00 90.00 120.00
Space group P-31c (No. 163)
Asymmetric unit:
1 Rb 0.0000 0.0000 0.0000 x2
2 Sr 0.3333 0.6667 0.2500 x2
3 In 0.3333 0.6667 0.7500 x2
4 Cl 0.0366 0.3890 0.6429 x12

- DFT total energy (eV per atom) = -3.605
- V (Å³/f.u.) = 318
- DOS at the Fermi energy (states/eV/cell) = 0.00

[2]
Below is a relaxed structure of Pm2PuSi2, with properties calculated at the PBE level.

abc: 4.452 6.384 8.632
angles: 90.00 90.00 90.00
Space group Immm (No. 71)
Asymmetric unit:
1 Pm 0.000 0.000 0.207 x4
2 Pu 0.000 0.500 0.000 x2
3 Si 0.000 0.304 0.500 x4

- DFT total energy (eV per atom) = -7.442
- V (Å³/f.u.) = 123
- DOS at the Fermi energy (states/eV/cell) = 25.95
- offset from the most stable computed form (eV/atom) = 0.000

[3]
Below is a relaxed structure of CaAu2F8, with properties calculated at the PBE level.

abc: 5.745 5.745 10.668
angles: 90.00 90.00 90.00
Space group I422 (No. 97)
Asymmetric unit:
1 Ca 0.000 0.000 0.000 x2
2 Au 0.000 0.500 0.250 x4
3 F 0.163 0.316 0.879 x16

- DFT total energy (eV per atom) = -3.991
- V (Å³/f.u.) = 176
- DOS at the Fermi energy (states/eV/cell) = 0.00

[4]
Below is a relaxed structure of In2HRh, with properties calculated at the PBE level.

abc: 3.625 4.773 7.537
angles: 90.00 90.00 90.00
Space group Immm (No. 71)
Asymmetric unit:
1 In 0.000 0.000 0.201 x4
2 H 0.000 0.000 0.500 x2
3 Rh 0.000 0.500 0.000 x2

- DFT total energy (eV per atom) = -4.234
- V (Å³/f.u.) = 65
- DOS at the Fermi energy (states/eV/cell) = 1.90
- offset from the most stable computed form (eV/atom) = 0.000

[5]
Below is a relaxed structure of PrGe4Au12, with properties calculated at the PBE level.

abc: 9.052 9.052 9.052
angles: 90.00 90.00 90.00
Space group Im-3 (No. 204)
Asymmetric unit:
1 Pr 0.000 0.000 0.000 x2
2 Ge 0.250 0.250 0.250 x8
3 Au 0.000 0.154 0.343 x24

- DFT total energy (eV per atom) = -3.683
- V (Å³/f.u.) = 371
- DOS at the Fermi energy (states/eV/cell) = 19.35

[6]
Below is a relaxed structure of Tb3PmTm, with properties calculated at the PBE level.

abc: 9.582 6.096 11.595
angles: 90.00 108.20 90.00
Space group P2_1/c (No. 14)
Asymmetric unit:
1 Tb 0.006 0.172 0.380 x4
2 Tb 0.398 0.620 0.223 x4
3 Tb 0.404 0.238 0.477 x4
4 Pm 0.197 0.137 0.174 x4
5 Tm 0.206 0.709 0.428 x4

- DFT total energy (eV per atom) = -4.561
- V (Å³/f.u.) = 161
- DOS at the Fermi energy (states/eV/cell) = 29.98
- offset from the most stable computed form (eV/atom) = 0.045

[7]
Below is a relaxed structure of K2CaAgBr6, with properties calculated at the PBE level.

abc: 7.666 8.176 12.888
angles: 90.00 124.86 90.00
Space group P2_1/c (No. 14)
Asymmetric unit:
1 K 0.217 0.083 0.247 x4
2 Ca 0.000 0.000 0.500 x2
3 Ag 0.500 0.000 0.000 x2
4 Br 0.155 0.192 0.955 x4
5 Br 0.248 0.690 0.946 x4
6 Br 0.373 0.026 0.764 x4

- DFT total energy (eV per atom) = -3.044
- V (Å³/f.u.) = 331
- DOS at the Fermi energy (states/eV/cell) = 12.71

[8]
Below is a relaxed structure of KHg2AsS4, with properties calculated at the PBE level.

abc: 6.735 8.004 8.607
angles: 90.00 90.00 90.00
Space group I222 (No. 23)
Asymmetric unit:
1 K 0.000 0.000 0.000 x2
2 Hg 0.000 0.500 0.187 x4
3 As 0.000 0.000 0.500 x2
4 S 0.215 0.176 0.329 x8

- DFT total energy (eV per atom) = -3.143
- V (Å³/f.u.) = 232

[9]
Below is a relaxed structure of Ce7Al2Pb2, with properties calculated at the PBE level.

abc: 11.918 7.674 7.401
angles: 90.00 90.21 90.00
Space group C2/m (No. 12)
Asymmetric unit:
1 Ce 0.000 0.000 0.000 x2
2 Ce 0.000 0.500 0.187 x4
3 Ce 0.250 0.249 0.315 x8
4 Al 0.231 0.500 0.000 x4
5 Pb 0.000 0.196 0.500 x4

- DFT total energy (eV per atom) = -5.087
- V (Å³/f.u.) = 338
- DOS at the Fermi energy (states/eV/cell) = 71.81

[10]
Below is a relaxed structure of Ac2TlF, with properties calculated at the PBE level.

abc: 3.741 3.741 8.322
angles: 90.00 90.00 90.00
Space group P4/mmm (No. 123)
Asymmetric unit:
1 Ac 0.000 0.000 0.235 x2
2 Tl 0.500 0.500 0.500 x1
3 F 0.500 0.500 0.000 x1

- DFT total energy (eV per atom) = -4.188
- V (Å³/f.u.) = 116
- DOS at the Fermi energy (states/eV/cell) = 2.77
- offset from the most stable computed form (eV/atom) = 0.235

[11]
Below is a relaxed structure of ScBiS2, with properties calculated at the PBE level.

abc: 3.6728 3.6728 8.3050
angles: 90.00 90.00 120.00
Space group P3m1 (No. 156)
Asymmetric unit:
1 Sc 0.0000 0.0000 0.0000 x1
2 Bi 0.3333 0.6667 0.5028 x1
3 S 0.3333 0.6667 0.8193 x1
4 S 0.6667 0.3333 0.1681 x1

- DFT total energy (eV per atom) = -5.811
- V (Å³/f.u.) = 97
- DOS at the Fermi energy (states/eV/cell) = 0.63

[12]
Below is a relaxed structure of NaAgN, with properties calculated at the PBE level.

abc: 3.095 4.113 7.380
angles: 90.00 90.00 90.00
Space group Pmmn (No. 59, origin choice 2)
Asymmetric unit:
1 Na 0.250 0.250 0.127 x2
2 Ag 0.250 0.750 0.401 x2
3 N 0.250 0.250 0.793 x2

- DFT total energy (eV per atom) = -3.477
- V (Å³/f.u.) = 47
- DOS at the Fermi energy (states/eV/cell) = 3.97

[13]
Below is a relaxed structure of BaCa3Sn2, with properties calculated at the PBE level.

abc: 20.991 5.174 12.416
angles: 90.00 101.03 90.00
Space group C2/m (No. 12)
Asymmetric unit:
1 Ba 0.000 0.000 0.000 x2
2 Ba 0.150 0.000 0.697 x4
3 Ca 0.000 0.500 0.500 x2
4 Ca 0.047 0.000 0.331 x4
5 Ca 0.120 0.500 0.205 x4
6 Ca 0.180 0.500 0.958 x4
7 Ca 0.217 0.000 0.391 x4
8 Sn 0.038 0.500 0.788 x4
9 Sn 0.143 0.500 0.466 x4
10 Sn 0.184 0.000 0.125 x4

- DFT total energy (eV per atom) = -3.226
- V (Å³/f.u.) = 221
- DOS at the Fermi energy (states/eV/cell) = 26.55

[14]
Below is a relaxed structure of LaMgTa2, with properties calculated at the PBE level.

abc: 3.486 4.994 4.995
angles: 90.00 90.00 90.00
Space group Pmmm (No. 47)
Asymmetric unit:
1 La 0.000 0.000 0.000 x1
2 Mg 0.500 0.500 0.000 x1
3 Ta 0.000 0.500 0.500 x1
4 Ta 0.500 0.000 0.500 x1

- DFT total energy (eV per atom) = -7.005
- V (Å³/f.u.) = 87
- DOS at the Fermi energy (states/eV/cell) = 4.47

[15]
Below is a relaxed structure of PuPaTe3, with properties calculated at the PBE level.

abc: 8.332 4.342 17.052
angles: 90.00 90.00 90.00
Space group Pnma (No. 62)
Asymmetric unit:
1 Pu 0.103 0.250 0.207 x4
2 Pa 0.239 0.750 0.458 x4
3 Te 0.000 0.250 0.396 x4
4 Te 0.120 0.750 0.069 x4
5 Te 0.173 0.250 0.780 x4

- DFT total energy (eV per atom) = -7.600
- V (Å³/f.u.) = 154
- DOS at the Fermi energy (states/eV/cell) = 56.75
- offset from the most stable computed form (eV/atom) = 0.000

[16]
Below is a relaxed structure of LaDyTh2, with properties calculated at the PBE level.

abc: 8.094 8.094 8.094
angles: 90.00 90.00 90.00
Space group Fm-3m (No. 225)
Asymmetric unit:
1 La 0.000 0.000 0.000 x4
2 Dy 0.000 0.000 0.500 x4
3 Th 0.250 0.250 0.250 x8

- DFT total energy (eV per atom) = -5.880
- V (Å³/f.u.) = 133
- DOS at the Fermi energy (states/eV/cell) = 38.04
- offset from the most stable computed form (eV/atom) = 0.185

[17]
Below is a relaxed structure of HoTmCu, with properties calculated at the PBE level.

abc: 4.7471 4.7471 3.7376
angles: 90.00 90.00 120.00
Space group P3m1 (No. 156)
Asymmetric unit:
1 Ho 0.0000 0.0000 0.0000 x1
2 Tm 0.3333 0.6667 0.4816 x1
3 Cu 0.6667 0.3333 0.7243 x1

- DFT total energy (eV per atom) = -4.348
- V (Å³/f.u.) = 73
- DOS at the Fermi energy (states/eV/cell) = 2.65
- offset from the most stable computed form (eV/atom) = 0.216

[18]
Below is a relaxed structure of ZrMnRe, with properties calculated at the PBE level.

abc: 5.959 5.959 5.959
angles: 90.00 90.00 90.00
Space group F-43m (No. 216)
Asymmetric unit:
1 Zr 0.000 0.000 0.000 x4
2 Mn 0.250 0.250 0.750 x4
3 Re 0.000 0.000 0.500 x4

- DFT total energy (eV per atom) = -9.696
- V (Å³/f.u.) = 53
- DOS at the Fermi energy (states/eV/cell) = 12.97
- offset from the most stable computed form (eV/atom) = 0.655

[19]
Below is a relaxed structure of CaInI2N, with properties calculated at the PBE level.

abc: 6.170 6.170 4.877
angles: 90.00 90.00 90.00
Space group P4/mmm (No. 123)
Asymmetric unit:
1 Ca 0.000 0.000 0.000 x1
2 In 0.500 0.500 0.500 x1
3 I 0.000 0.500 0.000 x2
4 N 0.000 0.000 0.500 x1

- DFT total energy (eV per atom) = -3.361
- V (Å³/f.u.) = 186
- DOS at the Fermi energy (states/eV/cell) = 0.35
- offset from the most stable computed form (eV/atom) = 0.000